DFT (GGA-PBE) results for crystalline MnTeCl2 at its relaxed geometry. Values from VASP.

Quantum ESPRESSO input file:
```
&SYSTEM
  ibrav = 0, nat = 4, ntyp = 3
/
ATOMIC_SPECIES
Mn 54.94 Mn.upf
Te 127.60 Te.upf
Cl 35.45 Cl.upf
ATOMIC_POSITIONS crystal
Mn 0.000 0.566 0.411
Te 0.500 0.585 0.672
Cl 0.500 0.359 0.346
Cl 0.000 0.989 0.071
CELL_PARAMETERS angstrom
-2.024 -1.783 2.199
-2.254 -3.387 -4.822
2.499 -6.154 -2.692
```

Calculated values
uncorrected formation energy	-0.549	eV per atom
symmetry	Pm
N(E_F)	0.082	states/eV/atom
calculated volume	123	Å³ per cell
relative energy among the computed polymorphs	0.0522	eV/atom